Record 1
# CuRePb2 (meta-GGA SCAN, single point on PBEsol structure)
# Energy of formation from the pure elements, eV per atom: 1.03
# E above lowest polymorph, kJ/mol of formula units: 136
# E, eV/atom: -58.44
# Magnetization, Bohr magnetons per cell: 0.000
# Space-group type: I4/mmm, No. 139
data_CuRePb2
_symmetry_space_group_name_H-M 'P 1'
_symmetry_Int_Tables_number 1
_cell_length_a 4.410
_cell_length_b 4.410
_cell_length_c 4.984
_cell_angle_alpha 116.26
_cell_angle_beta 116.26
_cell_angle_gamma 90.00
loop_
_symmetry_equiv_pos_as_xyz
'x,y,z'
loop_
_atom_site_label
_atom_site_fract_x
_atom_site_fract_y
_atom_site_fract_z
_atom_site_occupancy
Cu1 0.000 0.500 0.000 1
Pb1 0.750 0.750 0.500 1
Pb2 0.250 0.250 0.500 1
Re1 0.500 0.000 0.000 1

Record 2
# CuIr5 (meta-GGA SCAN, single point on PBEsol structure)
# Energy of formation from the pure elements, eV per atom: 0.10
# E, eV/atom: -61.68
# Magnetization, Bohr magnetons per cell: 0.000
# Space-group type: Cm, No. 8
data_CuIr5
_symmetry_space_group_name_H-M 'P 1'
_symmetry_Int_Tables_number 1
_cell_length_a 2.709
_cell_length_b 5.097
_cell_length_c 6.419
_cell_angle_alpha 104.11
_cell_angle_beta 90.00
_cell_angle_gamma 105.41
loop_
_symmetry_equiv_pos_as_xyz
'x,y,z'
loop_
_atom_site_label
_atom_site_fract_x
_atom_site_fract_y
_atom_site_fract_z
_atom_site_occupancy
Ir1 0.387 0.774 0.277 1
Ir2 0.666 0.331 0.331 1
Ir3 0.056 0.111 0.614 1
Ir4 0.331 0.662 0.666 1
Ir5 0.726 0.451 0.946 1
Cu1 0.002 0.004 0.999 1